A plane-wave DFT calculation with GGA-PBE was carried out for crystalline Ce2PrAg2Au2 at its relaxed geometry.

Results
final energy	-4.50	eV per atom
SG	No. 166
energy of formation	-0.373	eV/atom

Cell lengths 8.2346, 8.2346, 8.2346 Å; angles 34.76, 34.76, 34.76 degrees
Element x y z (fractional)
Ce  0.1409  0.1409  0.1409
Ce  0.8591  0.8591  0.8591
Pr  0.0000  0.0000  0.0000
Ag  0.4184  0.4184  0.4184
Ag  0.5816  0.5816  0.5816
Au  0.2683  0.2683  0.2683
Au  0.7317  0.7317  0.7317